## SrPuCuTe3 (PBE)

Data for a geometry-optimized SrPuCuTe3 structure.

It has space group P2_1/m (No. 11), with a = 9.2482 Å, b = 4.3778 Å, c = 9.6980 Å, α = 90.00°, β = 103.58° and γ = 90.00°. The distinct sites, in fractional coordinates, are Sr at (0.1840, 0.2500, 0.2409), Pu at (0.3273, 0.7500, 0.8395), Cu at (0.0769, 0.2500, 0.5775), Te at (0.0962, 0.2500, 0.8608), Te at (0.2202, 0.7500, 0.5137) and Te at (0.4362, 0.7500, 0.1720).

The calculated density comes out at 6.769 g/cm³. As for the electronic total energy: -5.93 eV/atom. For the formation energy (no corrections), the calculation gives -1010 meV per atom.

## TbPuCu2 (PBE)

Data for a geometry-optimized TbPuCu2 structure.

It has space group Fm-3m (No. 225), with a = 6.9737 Å, b = 6.9737 Å, c = 6.9737 Å, α = 90.00°, β = 90.00° and γ = 90.00°. The distinct sites, in fractional coordinates, are Tb at (0.0000, 0.0000, 0.0000), Pu at (0.0000, 0.0000, 0.5000) and Cu at (0.2500, 0.2500, 0.2500).

The value obtained for the offset from the most stable computed form is 41.1 meV/atom. The formation energy is -0.01 eV/atom. The calculated density comes out at 10.380 g/cm³. As for the electronic total energy: -6.80 eV/atom.

## TbPu3Cu8 (PBE)

Data for a geometry-optimized TbPu3Cu8 structure.

It has space group P3m1 (No. 156), with a = 5.2417 Å, b = 5.2417 Å, c = 8.5183 Å, α = 90.00°, β = 90.00° and γ = 120.00°. The distinct sites, in fractional coordinates, are Tb at (0.0000, 0.0000, 0.0000), Pu at (0.0000, 0.0000, 0.3916), Pu at (0.6667, 0.3333, 0.4944), Pu at (0.6667, 0.3333, 0.8753), Cu at (0.0025, 0.5013, 0.1884), Cu at (0.1686, 0.3372, 0.6931), Cu at (0.3333, 0.6667, 0.4414) and Cu at (0.3333, 0.6667, 0.9413).

The formation energy is -0.08 eV/atom. The calculated density comes out at 11.464 g/cm³. As for the electronic total energy: -6.78 eV/atom.

## TbPuCu2 (PBE)

Data for a geometry-optimized TbPuCu2 structure.

It has space group R-3m (No. 166, hexagonal axes), with a = 3.7271 Å, b = 3.7271 Å, c = 23.2263 Å, α = 90.00°, β = 90.00° and γ = 120.00°. The distinct sites, in fractional coordinates, are Tb at (0.0000, 0.0000, 0.0000), Pu at (0.0000, 0.0000, 0.5000) and Cu at (0.0000, 0.0000, 0.2516).

The value obtained for the offset from the most stable computed form is 253.6 meV/atom. The formation energy is 0.20 eV/atom. The calculated density comes out at 9.449 g/cm³. As for the electronic total energy: -6.59 eV/atom.

## TbPuCu2 (PBE)

Data for a geometry-optimized TbPuCu2 structure.

It has space group P4/mmm (No. 123), with a = 3.4342 Å, b = 3.4342 Å, c = 7.0995 Å, α = 90.00°, β = 90.00° and γ = 90.00°. The distinct sites, in fractional coordinates, are Tb at (0.0000, 0.0000, 0.0000), Pu at (0.0000, 0.0000, 0.5000) and Cu at (0.5000, 0.5000, 0.2392).

The value obtained for the offset from the most stable computed form is 0.0 meV/atom. The formation energy is -0.06 eV/atom. The calculated density comes out at 10.512 g/cm³. As for the electronic total energy: -6.84 eV/atom.

## TbPuCu4 (PBE)

Data for a geometry-optimized TbPuCu4 structure.

It has space group Pmmm (No. 47), with a = 2.9327 Å, b = 4.4513 Å, c = 7.6538 Å, α = 90.00°, β = 90.00° and γ = 90.00°. The distinct sites, in fractional coordinates, are Tb at (0.0000, 0.0000, 0.0000), Pu at (0.0000, 0.5000, 0.5000), Cu at (0.5000, 0.0000, 0.3368) and Cu at (0.5000, 0.5000, 0.1702).

The value obtained for the offset from the most stable computed form is 278.5 meV/atom. The formation energy is 0.22 eV/atom. The calculated density comes out at 10.921 g/cm³. As for the electronic total energy: -5.68 eV/atom.